1.
The following is a GGA+U calculation of a relaxed structure of Mg2MnF, from Alexandria.

## Properties
Energy above the most stable polymorph in this dataset = 0 meV per atom
Total DFT energy (no corrections) = -15.5 eV/f.u.

POSCAR file:
```
Mg2MnF
1.0
6.516 0.000 0.000
0.000 6.516 0.000
0.000 0.000 7.295
Mg Mn F
8 4 4
direct
0.150 0.250 0.125
0.250 0.650 0.375
0.250 0.850 0.875
0.350 0.250 0.625
0.650 0.750 0.625
0.750 0.150 0.875
0.750 0.350 0.375
0.850 0.750 0.125
0.000 0.000 0.500
0.000 0.500 0.750
0.500 0.000 0.250
0.500 0.500 0.000
0.000 0.000 0.000
0.000 0.500 0.250
0.500 0.000 0.750
0.500 0.500 0.500
```

***

2.
The following is a GGA+U calculation of a relaxed structure of MgMn2F6, from Alexandria.

## Properties
Total DFT energy (no corrections) = -53.9 eV/f.u.

POSCAR file:
```
MgMn2F6
1.0
2.840 1.640 5.119
-2.840 1.640 5.119
0.000 -3.279 5.119
Mg Mn F
1 2 6
direct
0.000 0.000 0.000
0.194 0.194 0.194
0.806 0.806 0.806
0.029 0.379 0.848
0.152 0.971 0.621
0.379 0.848 0.029
0.621 0.152 0.971
0.848 0.029 0.379
0.971 0.621 0.152
```

***

3.
The following is a GGA+U calculation of a relaxed structure of MgMnF5, from Alexandria.

## Properties
Energy above the most stable polymorph in this dataset = 32 meV per atom
Total DFT energy (no corrections) = -38.4 eV/f.u.

POSCAR file:
```
MgMnF5
1.0
5.412 0.000 0.000
-2.477 4.890 0.000
-0.803 -2.715 7.460
Mg Mn F
2 2 10
direct
0.065 0.211 0.259
0.935 0.789 0.741
0.500 0.000 0.000
0.500 0.000 0.500
0.136 0.672 0.903
0.183 0.995 0.377
0.284 0.591 0.441
0.316 0.206 0.098
0.342 0.030 0.741
0.658 0.970 0.259
0.684 0.794 0.902
0.716 0.409 0.559
0.817 0.005 0.623
0.864 0.328 0.097
```

***

4.
The following is a GGA+U calculation of a relaxed structure of MgMnNF2, from Alexandria.

## Properties
Energy above the most stable polymorph in this dataset = 0 meV per atom
Total DFT energy (no corrections) = -28.0 eV/f.u.

POSCAR file:
```
MgMnNF2
1.0
3.677 0.000 0.000
0.000 3.677 0.000
0.000 0.000 4.617
Mg Mn N F
1 1 1 2
direct
0.000 0.000 0.000
0.500 0.500 0.500
0.000 0.000 0.500
0.000 0.500 0.000
0.500 0.000 0.000
```

***

5.
The following is a GGA+U calculation of a relaxed structure of MgMnNF2, from Alexandria.

## Properties
Energy above the most stable polymorph in this dataset = 181 meV per atom
Total DFT energy (no corrections) = -27.1 eV/f.u.

POSCAR file:
```
MgMnNF2
1.0
3.552 0.000 0.000
0.000 3.552 0.000
0.000 0.000 8.904
Mg Mn N F
1 1 1 2
direct
0.000 0.000 0.000
0.000 0.000 0.500
0.500 0.500 0.500
0.000 0.500 0.000
0.500 0.000 0.000
```

***

6.
The following is a GGA+U calculation of a relaxed structure of Mg2MnNF, from Alexandria.

## Properties
Total DFT energy (no corrections) = -20.1 eV/f.u.

POSCAR file:
```
Mg2MnNF
1.0
4.054 0.000 0.000
0.000 4.054 0.000
0.000 0.000 4.879
Mg Mn N F
2 1 1 1
direct
0.000 0.500 0.000
0.500 0.000 0.000
0.000 0.000 0.500
0.500 0.500 0.500
0.000 0.000 0.000
```

***

> total DFT energy (no corrections) of number 5 (MgMnNF2)?

-27.1 eV/f.u.